Density functional theory data (PBE) for a geometry-optimized BeZnF4 structure.

The structure in POSCAR format:
```
BeZnF4
1.0
6.749 0.000 -3.581
3.374 3.675 -1.790
-1.652 0.000 5.036
Be F Zn
1 4 1
Cartesian
5.923 1.837 -1.063
4.558 1.526 -1.759
5.734 2.148 0.458
6.554 3.092 -1.750
0.096 0.583 2.381
3.374 0.000 -1.790
```

Its energy above the most stable polymorph in this dataset is 0.0 meV/atom. The calculation puts the uncorrected formation energy at -2.748 eV per atom. Its space group is I-4. The density of states at the Fermi level comes out at 0.000 states/eV per atom.

***

Density functional theory data (PBE) for a geometry-optimized Be2ZnF structure.

The structure in POSCAR format:
```
Be2ZnF
1.0
-1.598 0.704 3.699
-3.360 2.304 0.372
-3.557 -1.725 1.054
Be Zn F
2 1 1
Cartesian
-2.129 0.321 1.281
-6.387 0.963 3.843
-4.258 0.642 2.562
0.000 0.000 0.000
```

Its energy above the most stable polymorph in this dataset is 484.3 meV/atom. The calculation puts the uncorrected formation energy at 0.264 eV per atom. Its space group is Fm-3m. The density of states at the Fermi level comes out at 0.466 states/eV per atom.